# 1
PBE-GGA Na4CeNp3S8, optimized geometry; formation energy (no corrections) = -1.456 eV/atom; symmetry = No. 166; Fermi-level density of states = 31.476 states/eV per cell
1.0
-7.738 0.243 2.316
2.300 -0.740 7.763
3.046 5.949 -4.542
Na Ce Np S
4 1 3 8
Cartesian
-3.869 0.121 1.158 Na
-2.346 3.096 -1.113 Na
0.000 0.000 0.000 Na
1.523 2.975 -2.271 Na
1.150 -0.370 3.882 Ce
-2.719 -0.249 5.040 Np
-1.196 2.726 2.769 Np
2.673 2.605 1.611 Np
2.776 5.375 1.763 S
1.274 2.442 4.001 S
0.210 2.937 0.396 S
-1.038 5.494 2.904 S
-1.353 -0.043 2.633 S
-2.602 2.515 5.142 S
-3.665 3.010 1.536 S
-5.167 0.077 3.775 S

# 2
PBE-GGA Pu2InSe, optimized geometry; formation energy (no corrections) = -0.605 eV/atom; symmetry = No. 166; Fermi-level density of states = 20.916 states/eV per cell; distance to the lowest polymorph of the same formula = 91 meV/atom
1.0
3.872 0.000 0.000
1.936 3.353 0.000
1.936 1.118 8.647
In Se Pu
1 1 2
Cartesian
3.872 2.236 4.323 In
0.000 0.000 0.000 Se
1.936 1.118 1.869 Pu
5.808 3.353 6.777 Pu

# 3
PBE-GGA LiThMgPt, optimized geometry; symmetry = No. 216; Fermi-level density of states = 3.534 states/eV per cell; electronic total energy = -4.819 eV per atom
1.0
4.888 0.000 0.000
2.444 4.233 0.000
2.444 1.411 3.991
Mg Pt Th Li
1 1 1 1
Cartesian
4.888 2.822 1.995 Mg
2.444 1.411 0.998 Pt
0.000 0.000 0.000 Th
7.332 4.233 2.993 Li

# 4
PBE-GGA K2AgHg, optimized geometry; symmetry = No. 122; Fermi-level density of states = 4.152 states/eV per cell; electronic total energy = -1.304 eV per atom
1.0
9.345 0.000 0.000
0.000 9.345 0.000
4.673 4.673 3.551
K Hg Ag
4 2 2
Cartesian
6.885 2.336 0.888 K
2.460 7.009 0.888 K
7.009 7.132 2.664 K
11.682 11.558 2.664 K
0.000 0.000 0.000 Hg
9.345 4.673 1.776 Hg
4.673 4.673 0.000 Ag
4.673 9.345 1.776 Ag

# 5
PBE-GGA HfSiAsBr2, optimized geometry; formation energy (no corrections) = 0.781 eV/atom; symmetry = No. 123; Fermi-level density of states = 3.006 states/eV per cell; distance to the lowest polymorph of the same formula = 638 meV/atom
1.0
5.084 0.000 0.000
0.000 5.437 0.000
0.000 0.000 5.084
As Hf Si Br
1 1 1 2
Cartesian
0.000 0.000 0.000 As
0.000 2.719 0.000 Hf
2.542 2.719 2.542 Si
0.000 0.000 2.542 Br
2.542 0.000 0.000 Br

# 6
PBE-GGA CeCuTeO6, optimized geometry; formation energy (no corrections) = -1.448 eV/atom; symmetry = No. 163; Fermi-level density of states = 9.019 states/eV per cell
1.0
-1.151 1.877 -5.108
2.519 -4.916 0.654
-7.750 -3.932 0.301
Ce Cu Te O
2 2 2 12
Cartesian
-0.641 -3.634 -1.191 Ce
-5.740 -3.336 -2.962 Ce
0.000 0.000 0.000 Cu
-3.875 -1.966 0.150 Cu
-1.865 -1.370 -3.112 Te
-4.516 -5.600 -1.041 Te
-0.161 -2.349 -3.009 O
-1.273 -0.283 -4.642 O
-2.815 -6.567 -0.830 O
-5.108 -6.687 0.489 O
-2.501 -2.366 -1.539 O
-2.394 -2.794 -4.363 O
-5.087 -6.947 -2.357 O
-3.566 -0.404 -3.323 O
-3.987 -4.176 0.210 O
-1.294 -0.023 -1.796 O
-3.880 -4.604 -2.614 O
-6.220 -4.621 -1.144 O

# 7
PBE-GGA YSiPt2, optimized geometry; formation energy (no corrections) = -0.997 eV/atom; symmetry = No. 12; Fermi-level density of states = 2.625 states/eV per cell
1.0
-1.780 0.777 -3.726
-4.142 -0.504 -0.489
-2.737 4.852 -0.077
Pt Si Y
2 1 1
Cartesian
-2.643 4.287 -0.232 Pt
-4.422 3.127 -1.990 Pt
-6.494 3.844 -3.219 Si
-2.165 1.281 -1.073 Y